No. 1
Here is a geometry-optimized TbEr2Zr3N6 structure from Alexandria via LeMat-Bulk. Energies are from PBE.

## Properties
Space group: C2/m, No. 12
Formation energy without anion corrections in eV/atom: -1.75
V in Å³ per atom: 13.2
DOS at the Fermi energy in states/eV per cell: 3.18

Cell: 5.772 5.772 5.825 Å, 99.55 99.55 119.92°
Element x y z (fractional)
Tb  0.000  0.000  0.000
Er  0.333  0.667  0.000
Er  0.667  0.333  0.000
Zr  0.167  0.833  0.500
Zr  0.500  0.500  0.500
Zr  0.833  0.167  0.500
N  0.088  0.425  0.265
N  0.248  0.248  0.735
N  0.425  0.088  0.265
N  0.575  0.912  0.735
N  0.752  0.752  0.265
N  0.912  0.575  0.735

No. 2
Here is a geometry-optimized Pm2ThSb structure from Alexandria via LeMat-Bulk. Energies are from PBE.

## Properties
Space group: P4/mmm, No. 123
Distance to the lowest polymorph of the same formula in eV per atom: 0.000
Formation energy without anion corrections in eV/atom: -0.50
V in Å³ per atom: 30.2
DOS at the Fermi energy in states/eV per cell: 3.99

Cell: 4.001 4.001 7.552 Å, 90.00 90.00 90.00°
Element x y z (fractional)
Pm  0.000  0.000  0.220
Pm  0.000  0.000  0.780
Th  0.500  0.500  0.500
Sb  0.500  0.500  0.000